{
  "formula": "Nb2AlCu",
  "functional": "GGA-PBE",
  "state": "optimized geometry",
  "energy_ev_per_cell": -53.629,
  "m_tot_mub_per_atom": 0.000,
  "volume_a3_per_atom": 17.1,
  "cell": [[-6.874, 0.906, -1.919], [-1.602, -6.482, 2.679], [-4.751, -1.687, 2.736]],
  "species": ["Al", "Cu", "Nb", "Nb", "Nb", "Cu", "Nb", "Al"],
  "frac_coords": [[0.250, 0.750, 0.500], [0.750, 0.250, 0.500], [0.875, 0.887, 0.750], [0.375, 0.363, 0.750], [0.637, 0.125, 0.250], [0.000, 0.000, 0.000], [0.113, 0.625, 0.250], [0.500, 0.500, 0.000]]
}